DFT (GGA-PBE) results for a relaxed NaV3Ga crystal.

Cell lengths 4.4123, 4.4123, 4.4123 Å; angles 90.00, 90.00, 90.00 degrees
Sites, in units of the cell vectors:
Na: 0.0000 0.0000 0.0000
Ga: 0.5000 0.5000 0.5000
V: 0.0000 0.5000 0.0000
V: 0.0000 0.0000 0.5000
V: 0.5000 0.0000 0.0000

Fermi-level density of states, states/eV/f.u.: 7.86
Uncorrected energy, Ry/atom: -0.31896
Energy of formation from the pure elements, eV/atom: 2.001
Space group: Pm-3m (221)